Here is Hf2Al2Mo after structural relaxation from the Alexandria database. Energies are from GGA-PBE.

The space group is P4/mbm, No. 127.

a b c (Å): 6.984 6.984 3.750
angles (deg): 90.00 90.00 90.00
Atoms (fractional coordinates):
Mo (0.000, 0.000, 0.000)
Mo (0.500, 0.500, 0.000)
Hf (0.176, 0.676, 0.500)
Hf (0.676, 0.824, 0.500)
Hf (0.824, 0.324, 0.500)
Hf (0.324, 0.176, 0.500)
Al (0.372, 0.872, 0.000)
Al (0.872, 0.628, 0.000)
Al (0.628, 0.128, 0.000)
Al (0.128, 0.372, 0.000)

***

Here is Hf2AlMo after structural relaxation from the Alexandria database. Energies are from GGA-PBE.

The space group is P4/mmm, No. 123.

a b c (Å): 3.586 4.549 4.549
angles (deg): 90.00 90.00 90.00
Atoms (fractional coordinates):
Mo (0.500, 0.000, 0.000)
Hf (0.000, 0.000, 0.500)
Hf (0.000, 0.500, 0.000)
Al (0.500, 0.500, 0.500)

***

no.,energy relative to the elements (kJ/mol of atoms)
1,-24
2,-26